Entry 1:
Density functional theory data (PBE-GGA) for crystalline Sm2Si3Ni12Pd at its relaxed geometry.

POSCAR file:
```
Sm2Si3Ni12Pd
1.0
-4.757 -3.010 -2.859
1.639 -5.699 2.167
-3.833 0.247 5.011
Sm Si Ni Pd
2 3 12 1
Cartesian
-4.588 -5.585 2.850
-2.363 -2.877 1.468
-2.379 -1.505 -1.429
0.819 -2.850 1.083
-1.916 0.124 2.505
-4.651 -3.132 4.243
-3.697 -6.984 0.968
-3.230 -5.337 4.946
-5.127 -4.809 0.192
-6.463 -3.978 2.405
-1.834 -6.194 2.779
-2.300 -5.329 0.075
-3.255 -1.478 3.351
-3.722 -3.125 -0.627
-1.825 -3.653 4.127
-0.489 -4.484 1.913
-5.117 -2.268 1.540
0.000 0.000 0.000
```

Properties
E, eV/atom: -5.639
Formation energy without anion corrections, eV/f.u.: -1.2
SG: R-3m (166)
Total moment, μB/cell: 0.00



Entry 2:
Density functional theory data (PBE-GGA) for crystalline Sm2Si4Ni3Pd at its relaxed geometry.

POSCAR file:
```
Sm2Si4Ni3Pd
1.0
-1.974 -3.408 -0.967
1.996 -1.985 2.919
-6.987 2.257 6.311
Sm Si Ni Pd
2 4 3 1
Cartesian
-2.682 -1.156 1.047
-4.294 0.717 6.240
0.011 -2.696 0.976
0.000 0.000 0.000
-5.449 -0.262 3.547
-1.527 -0.177 3.740
-3.493 1.128 3.155
-7.138 0.283 5.072
0.162 -0.722 2.215
-3.483 -1.568 4.131
```

Properties
E, eV/atom: -6.214
Formation energy without anion corrections, eV/f.u.: -8.5
SG: P-4m2 (115)
Total moment, μB/cell: 0.00



Entry 3:
Density functional theory data (PBE-GGA) for crystalline Sm3Si6Ni2Pd at its relaxed geometry.

POSCAR file:
```
Sm3Si6Ni2Pd
1.0
5.796 0.000 0.000
-2.898 5.019 0.000
0.000 0.000 7.853
Sm Si Ni Pd
3 6 2 1
Cartesian
0.000 3.346 4.930
2.898 1.673 2.923
0.000 0.000 0.000
1.216 4.048 2.231
0.000 1.942 2.231
-1.216 4.048 2.231
2.898 3.077 5.621
1.682 0.971 5.621
4.114 0.971 5.621
2.898 1.673 7.478
0.000 3.346 0.375
0.000 0.000 3.926
```

Properties
E, eV/atom: -5.648
Formation energy without anion corrections, eV/f.u.: -4.3
SG: P-3m1 (164)
Total moment, μB/cell: 0.00



Entry 4:
Density functional theory data (PBE-GGA) for crystalline SrSi2NiPd at its relaxed geometry.

POSCAR file:
```
SrSi2NiPd
1.0
4.224 0.000 0.000
0.000 4.224 0.000
-2.112 -2.112 5.014
Sr Si Ni Pd
1 2 1 1
Cartesian
0.000 0.000 0.000
2.112 2.112 1.322
0.000 0.000 3.692
2.112 0.000 2.507
0.000 2.112 2.507
```

Properties
E, eV/atom: -5.325
Formation energy without anion corrections, eV/f.u.: -3.1
SG: I-4m2 (119)
Total moment, μB/cell: 0.00



Entry 5:
Density functional theory data (PBE-GGA) for crystalline TaSiNi2Pd at its relaxed geometry.

POSCAR file:
```
TaSiNi2Pd
1.0
-2.918 -1.146 -3.225
1.014 -4.337 0.624
-3.130 -0.309 2.942
Ni Si Pd Ta
2 1 1 1
Cartesian
0.507 -2.169 0.312
-1.459 -0.573 -1.612
-1.565 -0.154 1.471
0.000 0.000 0.000
-2.517 -2.896 0.170
```

Properties
E, eV/atom: -5.732
Formation energy without anion corrections, eV/f.u.: 5.4
SG: P4/mmm (123)
Total moment, μB/cell: 0.52



Entry 6:
Density functional theory data (PBE-GGA) for crystalline TbSi2NiPd at its relaxed geometry.

POSCAR file:
```
TbSi2NiPd
1.0
4.072 0.000 0.000
0.000 4.072 0.000
-2.036 -2.036 4.907
Tb Si Ni Pd
1 2 1 1
Cartesian
0.000 0.000 0.000
2.036 2.036 1.185
0.000 0.000 3.723
0.000 2.036 2.454
2.036 0.000 2.454
```

Properties
E, eV/atom: -6.164
Formation energy without anion corrections, eV/f.u.: -4.4
SG: I-4m2 (119)
Total moment, μB/cell: 0.00



Entry 7:
Density functional theory data (PBE-GGA) for crystalline Tb2Si3Ni12Pd at its relaxed geometry.

POSCAR file:
```
Tb2Si3Ni12Pd
1.0
6.039 -1.415 -1.004
1.752 5.950 -1.004
1.752 1.020 5.948
Tb Si Ni Pd
2 3 12 1
Cartesian
6.328 3.683 2.612
3.215 1.872 1.327
3.020 -0.708 -0.502
0.876 2.975 -0.502
0.876 0.510 2.974
4.589 2.671 4.569
6.843 3.983 0.198
4.686 5.208 3.694
6.784 1.425 1.011
6.843 1.503 3.694
4.589 5.195 1.011
4.954 2.883 -0.629
2.700 1.572 3.742
4.856 0.347 0.246
2.759 4.130 2.929
2.700 4.051 0.246
4.954 0.360 2.929
0.000 0.000 0.000
```

Properties
E, eV/atom: -5.670
Formation energy without anion corrections, eV/f.u.: -2.0
SG: R-3m (166)
Total moment, μB/cell: 0.00



Entry 8:
Density functional theory data (PBE-GGA) for crystalline Th2Si4Ni3Pd at its relaxed geometry.

POSCAR file:
```
Th2Si4Ni3Pd
1.0
4.120 0.000 0.000
0.000 4.120 0.000
0.000 0.000 9.646
Th Si Ni Pd
2 4 3 1
Cartesian
2.060 0.000 2.361
0.000 2.060 7.285
2.060 2.060 0.000
0.000 0.000 0.000
2.060 0.000 6.147
0.000 2.060 3.500
0.000 0.000 4.823
2.060 0.000 8.519
0.000 2.060 1.128
2.060 2.060 4.823
```

Properties
E, eV/atom: -6.786
Formation energy without anion corrections, eV/f.u.: -8.8
SG: P-4m2 (115)
Total moment, μB/cell: 0.00



Entry 9:
Density functional theory data (PBE-GGA) for crystalline TiSiNiPd at its relaxed geometry.

POSCAR file:
```
TiSiNiPd
1.0
-0.826 1.257 3.981
-1.201 -2.848 2.925
2.651 -1.055 3.158
Ni Si Pd Ti
1 1 1 1
Cartesian
0.312 -1.323 5.032
0.468 -1.984 7.548
0.000 0.000 0.000
0.156 -0.661 2.516
```

Properties
E, eV/atom: -6.628
Formation energy without anion corrections, eV/f.u.: -2.2
SG: F-43m (216)
Total moment, μB/cell: 0.00



Entry 10:
Density functional theory data (PBE-GGA) for crystalline Tm2Si4Ni3Pd at its relaxed geometry.

POSCAR file:
```
Tm2Si4Ni3Pd
1.0
-3.346 -0.636 2.025
0.477 -3.909 -0.439
5.040 -0.308 8.230
Tm Si Ni Pd
2 4 3 1
Cartesian
-0.453 -0.392 3.006
4.058 -2.188 6.018
-1.435 -2.272 0.793
0.000 0.000 0.000
1.563 -0.516 6.297
2.043 -2.065 2.727
2.520 -0.154 4.115
2.748 -0.588 8.232
0.857 -1.992 0.791
1.086 -2.427 4.908
```

Properties
E, eV/atom: -6.168
Formation energy without anion corrections, eV/f.u.: -8.5
SG: P-4m2 (115)
Total moment, μB/cell: 0.00



Entry 11:
Density functional theory data (PBE-GGA) for crystalline Tm2Si3Ni12Pd at its relaxed geometry.

POSCAR file:
```
Tm2Si3Ni12Pd
1.0
6.011 -1.401 -0.994
1.750 5.918 -0.994
1.750 1.019 5.914
Tm Si Ni Pd
2 3 12 1
Cartesian
6.326 3.682 2.612
3.185 1.854 1.315
3.005 -0.700 -0.497
0.875 2.959 -0.497
0.875 0.509 2.957
4.586 2.669 4.541
6.811 3.965 0.216
4.681 5.175 3.670
6.759 1.436 1.018
6.811 1.515 3.670
4.586 5.168 1.018
4.926 2.867 -0.614
2.700 1.572 3.711
4.831 0.362 0.257
2.753 4.101 2.909
2.700 4.022 0.257
4.926 0.369 2.909
0.000 0.000 0.000
```

Properties
E, eV/atom: -5.689
Formation energy without anion corrections, eV/f.u.: -2.6
SG: R-3m (166)
Total moment, μB/cell: 0.00



Entry 12:
Density functional theory data (PBE-GGA) for crystalline TmSi2NiPd at its relaxed geometry.

POSCAR file:
```
TmSi2NiPd
1.0
-3.464 -0.620 1.961
1.934 -2.290 2.692
1.617 5.416 0.431
Tm Si Ni Pd
1 2 1 1
Cartesian
0.000 0.000 0.000
-0.562 -0.511 2.983
0.649 3.018 2.101
1.393 0.836 2.725
-1.306 1.671 2.359
```

Properties
E, eV/atom: -6.113
Formation energy without anion corrections, eV/f.u.: -4.3
SG: I-4m2 (119)
Total moment, μB/cell: 0.00